# Nd7DyTm12

Crystalline Nd7DyTm12 at its relaxed geometry (GGA-PBE, Alexandria via LeMat-Bulk).

Unit cell a=8.738 b=8.738 c=8.738 alpha=85.88 beta=85.88 gamma=85.88
Element x y z (fractional)
Tm (0.617, 0.136, 0.497)
Tm (0.255, 0.727, 0.856)
Tm (0.497, 0.617, 0.136)
Tm (0.383, 0.864, 0.503)
Tm (0.503, 0.383, 0.864)
Tm (0.856, 0.255, 0.727)
Tm (0.864, 0.503, 0.383)
Tm (0.727, 0.856, 0.255)
Tm (0.745, 0.273, 0.144)
Tm (0.136, 0.497, 0.617)
Tm (0.273, 0.144, 0.745)
Tm (0.144, 0.745, 0.273)
Nd (0.078, 0.157, 0.398)
Nd (0.500, 0.500, 0.500)
Nd (0.157, 0.398, 0.078)
Nd (0.602, 0.922, 0.843)
Nd (0.922, 0.843, 0.602)
Nd (0.843, 0.602, 0.922)
Nd (0.398, 0.078, 0.157)
Dy (0.000, 0.000, 0.000)

Calculated values
- Energy of formation from the pure elements: 0.23 eV/atom
- Symmetry: R-3
- Energy above the lowest structure with this stoichiometry: 0.0 meV/atom
- Spin magnetization: 0.00 Bohr magnetons per cell

=====

# NdDy3Tm5

Crystalline NdDy3Tm5 at its relaxed geometry (GGA-PBE, Alexandria via LeMat-Bulk).

Unit cell a=9.618 b=9.649 c=6.956 alpha=90.03 beta=90.00 gamma=119.90
Element x y z (fractional)
Tm (0.001, 0.315, 0.250)
Tm (0.314, 0.315, 0.750)
Tm (0.000, 0.351, 0.750)
Tm (0.647, 0.000, 0.250)
Tm (0.353, 0.000, 0.750)
Tm (0.351, 0.351, 0.250)
Tm (0.686, 0.685, 0.250)
Tm (0.999, 0.685, 0.750)
Tm (0.000, 0.649, 0.250)
Tm (0.649, 0.649, 0.750)
Dy (0.000, 0.000, 0.000)
Dy (0.671, 0.341, 0.000)
Dy (0.329, 0.659, 0.500)
Dy (0.329, 0.659, 0.000)
Dy (0.671, 0.341, 0.500)
Dy (0.000, 0.000, 0.500)
Nd (0.688, 0.000, 0.750)
Nd (0.312, 0.000, 0.250)

Calculated values
- Energy of formation from the pure elements: 0.07 eV/atom
- Symmetry: Cmcm
- Energy above the lowest structure with this stoichiometry: 0.0 meV/atom
- Spin magnetization: 0.00 Bohr magnetons per cell

=====

# Nd2Dy5Tm12

Crystalline Nd2Dy5Tm12 at its relaxed geometry (GGA-PBE, Alexandria via LeMat-Bulk).

Unit cell a=9.155 b=12.252 c=8.435 alpha=132.30 beta=90.00 gamma=111.94
Element x y z (fractional)
Tm (0.556, 0.112, 0.783)
Tm (0.337, 0.312, 0.066)
Tm (0.024, 0.688, 0.934)
Tm (0.093, 0.186, 0.303)
Tm (0.818, 0.254, 0.602)
Tm (0.976, 0.312, 0.066)
Tm (0.907, 0.814, 0.697)
Tm (0.564, 0.746, 0.398)
Tm (0.444, 0.888, 0.217)
Tm (0.182, 0.746, 0.398)
Tm (0.663, 0.688, 0.934)
Tm (0.436, 0.254, 0.602)
Nd (0.314, 0.000, 0.000)
Nd (0.686, 0.000, 0.000)
Dy (0.698, 0.396, 0.388)
Dy (0.767, 0.534, 0.111)
Dy (0.000, 0.000, 0.500)
Dy (0.302, 0.604, 0.612)
Dy (0.233, 0.466, 0.889)

Calculated values
- Energy of formation from the pure elements: 0.13 eV/atom
- Symmetry: C2/m
- Energy above the lowest structure with this stoichiometry: 108.6 meV/atom
- Spin magnetization: 0.00 Bohr magnetons per cell

=====

# Nd2Dy3Tm3

Crystalline Nd2Dy3Tm3 at its relaxed geometry (GGA-PBE, Alexandria via LeMat-Bulk).

Unit cell a=5.038 b=5.041 c=10.637 alpha=103.71 beta=103.70 gamma=90.00
Element x y z (fractional)
Tm (0.123, 0.123, 0.245)
Tm (0.000, 0.500, 0.000)
Tm (0.877, 0.877, 0.755)
Nd (0.250, 0.750, 0.500)
Nd (0.750, 0.250, 0.500)
Dy (0.378, 0.378, 0.755)
Dy (0.622, 0.622, 0.245)
Dy (0.500, 0.000, 0.000)

Calculated values
- Energy of formation from the pure elements: 0.03 eV/atom
- Symmetry: Immm
- Energy above the lowest structure with this stoichiometry: 0.0 meV/atom
- Spin magnetization: 0.00 Bohr magnetons per cell

=====

# Nd4Dy11Tm9

Crystalline Nd4Dy11Tm9 at its relaxed geometry (GGA-PBE, Alexandria via LeMat-Bulk).

Unit cell a=3.585 b=15.444 c=15.444 alpha=116.70 beta=90.00 gamma=90.00
Element x y z (fractional)
Dy (0.000, 0.967, 0.595)
Dy (0.000, 0.000, 0.000)
Dy (0.000, 0.624, 0.376)
Dy (0.000, 0.187, 0.813)
Dy (0.000, 0.789, 0.789)
Dy (0.000, 0.813, 0.187)
Dy (0.000, 0.211, 0.211)
Dy (0.000, 0.405, 0.033)
Dy (0.000, 0.595, 0.967)
Dy (0.000, 0.376, 0.624)
Dy (0.000, 0.033, 0.405)
Tm (0.500, 0.387, 0.825)
Tm (0.500, 0.203, 0.015)
Tm (0.500, 0.797, 0.985)
Tm (0.500, 0.613, 0.175)
Tm (0.500, 0.825, 0.387)
Tm (0.500, 0.015, 0.203)
Tm (0.500, 0.985, 0.797)
Tm (0.500, 0.175, 0.613)
Tm (0.500, 0.500, 0.500)
Nd (0.500, 0.417, 0.240)
Nd (0.500, 0.760, 0.583)
Nd (0.500, 0.583, 0.760)
Nd (0.500, 0.240, 0.417)

Calculated values
- Energy of formation from the pure elements: 0.04 eV/atom
- Symmetry: Cmmm
- Spin magnetization: 0.00 Bohr magnetons per cell

=====

# Nd3Dy4Tm5

Crystalline Nd3Dy4Tm5 at its relaxed geometry (GGA-PBE, Alexandria via LeMat-Bulk).

Unit cell a=5.899 b=8.479 c=9.619 alpha=105.59 beta=72.15 gamma=69.64
Element x y z (fractional)
Tm (0.785, 0.543, 0.886)
Tm (0.215, 0.457, 0.114)
Tm (0.624, 0.948, 0.804)
Tm (0.500, 0.500, 0.500)
Tm (0.376, 0.052, 0.196)
Nd (0.524, 0.685, 0.266)
Nd (0.000, 0.500, 0.500)
Nd (0.476, 0.315, 0.734)
Dy (0.860, 0.222, 0.057)
Dy (0.170, 0.038, 0.622)
Dy (0.140, 0.778, 0.943)
Dy (0.830, 0.962, 0.378)

Calculated values
- Energy of formation from the pure elements: 0.24 eV/atom
- Symmetry: C2/m
- Energy above the lowest structure with this stoichiometry: 219.5 meV/atom
- Spin magnetization: 0.02 Bohr magnetons per cell

=====

# NdDy2Tm2

Crystalline NdDy2Tm2 at its relaxed geometry (GGA-PBE, Alexandria via LeMat-Bulk).

Unit cell a=9.415 b=9.415 c=3.647 alpha=90.00 beta=90.00 gamma=90.00
Element x y z (fractional)
Tm (0.123, 0.623, 0.000)
Tm (0.877, 0.377, 0.000)
Tm (0.377, 0.123, 0.000)
Tm (0.623, 0.877, 0.000)
Nd (0.500, 0.500, 0.000)
Nd (0.000, 0.000, 0.000)
Dy (0.326, 0.826, 0.500)
Dy (0.674, 0.174, 0.500)
Dy (0.174, 0.326, 0.500)
Dy (0.826, 0.674, 0.500)

Calculated values
- Energy of formation from the pure elements: 0.09 eV/atom
- Symmetry: P4/mbm
- Energy above the lowest structure with this stoichiometry: 0.0 meV/atom
- Spin magnetization: 0.00 Bohr magnetons per cell

=====

# Nd2Dy7Tm3

Crystalline Nd2Dy7Tm3 at its relaxed geometry (GGA-PBE, Alexandria via LeMat-Bulk).

Unit cell a=3.507 b=6.319 c=17.849 alpha=75.57 beta=90.00 gamma=90.00
Element x y z (fractional)
Dy (0.000, 0.439, 0.837)
Dy (0.500, 0.061, 0.167)
Dy (0.000, 0.000, 0.000)
Dy (0.500, 0.939, 0.833)
Dy (0.500, 0.758, 0.498)
Dy (0.500, 0.242, 0.502)
Dy (0.000, 0.561, 0.163)
Tm (0.000, 0.108, 0.343)
Tm (0.500, 0.500, 0.000)
Tm (0.000, 0.892, 0.657)
Nd (0.500, 0.388, 0.673)
Nd (0.500, 0.612, 0.327)

Calculated values
- Energy of formation from the pure elements: 0.08 eV/atom
- Symmetry: P2/m
- Energy above the lowest structure with this stoichiometry: 0.0 meV/atom
- Spin magnetization: 0.00 Bohr magnetons per cell

=====

# NdDy6Tm8

Crystalline NdDy6Tm8 at its relaxed geometry (GGA-PBE, Alexandria via LeMat-Bulk).

Unit cell a=6.410 b=9.370 c=9.370 alpha=120.00 beta=90.00 gamma=90.00
Element x y z (fractional)
Tm (0.158, 0.667, 0.333)
Tm (0.908, 0.338, 0.024)
Tm (0.092, 0.662, 0.976)
Tm (0.908, 0.686, 0.662)
Tm (0.092, 0.314, 0.338)
Tm (0.092, 0.024, 0.686)
Tm (0.908, 0.976, 0.314)
Tm (0.842, 0.333, 0.667)
Dy (0.588, 0.899, 0.581)
Dy (0.412, 0.581, 0.682)
Dy (0.412, 0.101, 0.419)
Dy (0.588, 0.419, 0.318)
Dy (0.412, 0.318, 0.899)
Dy (0.588, 0.682, 0.101)
Nd (0.500, 0.000, 0.000)

Calculated values
- Energy of formation from the pure elements: 0.23 eV/atom
- Symmetry: P-3
- Energy above the lowest structure with this stoichiometry: 96.3 meV/atom
- Spin magnetization: 0.00 Bohr magnetons per cell

=====

# Nd5Dy3Tm

Crystalline Nd5Dy3Tm at its relaxed geometry (GGA-PBE, Alexandria via LeMat-Bulk).

Unit cell a=9.635 b=9.635 c=11.787 alpha=52.75 beta=52.75 gamma=75.05
Element x y z (fractional)
Dy (0.000, 0.000, 0.000)
Dy (0.684, 0.684, 0.824)
Dy (0.000, 0.000, 0.500)
Dy (0.316, 0.316, 0.176)
Dy (0.337, 0.337, 0.649)
Dy (0.663, 0.663, 0.351)
Tm (0.155, 0.155, 0.594)
Tm (0.845, 0.845, 0.406)
Nd (0.509, 0.509, 0.763)
Nd (0.253, 0.747, 0.000)
Nd (0.664, 0.158, 0.736)
Nd (0.158, 0.664, 0.736)
Nd (0.491, 0.491, 0.237)
Nd (0.822, 0.822, 0.952)
Nd (0.842, 0.336, 0.264)
Nd (0.747, 0.253, 0.000)
Nd (0.178, 0.178, 0.048)
Nd (0.336, 0.842, 0.264)

Calculated values
- Energy of formation from the pure elements: 0.48 eV/atom
- Symmetry: C2/m
- Energy above the lowest structure with this stoichiometry: 214.3 meV/atom
- Spin magnetization: 0.00 Bohr magnetons per cell

=====

# Nd10Dy4Tm

Crystalline Nd10Dy4Tm at its relaxed geometry (GGA-PBE, Alexandria via LeMat-Bulk).

Unit cell a=7.808 b=9.571 c=9.571 alpha=80.42 beta=65.93 gamma=65.93
Element x y z (fractional)
Dy (0.600, 0.199, 0.600)
Dy (0.400, 0.801, 0.400)
Dy (0.201, 0.400, 0.199)
Dy (0.799, 0.600, 0.801)
Nd (0.449, 0.900, 0.701)
Nd (0.750, 0.500, 0.500)
Nd (0.349, 0.701, 0.100)
Nd (0.950, 0.900, 0.701)
Nd (0.651, 0.299, 0.900)
Nd (0.050, 0.100, 0.299)
Nd (0.551, 0.100, 0.299)
Nd (0.150, 0.299, 0.900)
Nd (0.250, 0.500, 0.500)
Nd (0.850, 0.701, 0.100)
Tm (0.000, 0.000, 0.000)

Calculated values
- Energy of formation from the pure elements: 0.69 eV/atom
- Symmetry: I4/m
- Spin magnetization: 0.00 Bohr magnetons per cell

=====

# NdDy12Tm3

Crystalline NdDy12Tm3 at its relaxed geometry (GGA-PBE, Alexandria via LeMat-Bulk).

Unit cell a=5.007 b=5.007 c=20.019 alpha=90.00 beta=90.00 gamma=90.00
Element x y z (fractional)
Dy (0.500, 0.000, 0.873)
Dy (0.000, 0.500, 0.873)
Dy (0.500, 0.500, 0.500)
Dy (0.000, 0.500, 0.127)
Dy (0.500, 0.000, 0.376)
Dy (0.500, 0.500, 0.748)
Dy (0.500, 0.500, 0.252)
Dy (0.500, 0.000, 0.624)
Dy (0.000, 0.500, 0.624)
Dy (0.000, 0.500, 0.376)
Dy (0.500, 0.500, 0.000)
Dy (0.500, 0.000, 0.127)
Tm (0.000, 0.000, 0.749)
Tm (0.000, 0.000, 0.251)
Tm (0.000, 0.000, 0.500)
Nd (0.000, 0.000, 0.000)

Calculated values
- Energy of formation from the pure elements: 0.02 eV/atom
- Symmetry: P4/mmm
- Spin magnetization: 0.00 Bohr magnetons per cell

=====

Which formula does entry 11 have? Nd10Dy4Tm

=====

spin magnetization of number 11 (Nd10Dy4Tm)? 0.00 Bohr magnetons per cell

=====

The highest energy of formation from the pure elements belongs to which entry? Nd10Dy4Tm

=====

spin magnetization of number 3 (Nd2Dy5Tm12)? 0.00 Bohr magnetons per cell